A relaxed CuRhS2 crystal, computed with PBE.

abc: 6.6246 6.6246 5.6172
angles: 90.00 90.00 90.00
Space group I4/mcm (No. 140)
Symmetry-distinct sites (fractional):
Cu  0.0000  0.0000  0.2500 (multiplicity 4)
Rh  0.0000  0.5000  0.2500 (multiplicity 4)
S  0.1973  0.3027  0.0000 (multiplicity 8)

Calculated values
Energy relative to the elements, uncorrected (eV per atom): 0.137

=====

A relaxed Er6HgIr crystal, computed with PBE.

abc: 6.8095 6.8165 7.3824
angles: 90.09 117.35 119.92
Space group P-1 (No. 2)
Symmetry-distinct sites (fractional):
Er  0.0329  0.0798  0.2540 (multiplicity 2)
Er  0.3003  0.7209  0.2536 (multiplicity 2)
Er  0.3243  0.5460  0.7462 (multiplicity 2)
Hg  0.5000  0.0000  0.0000 (multiplicity 1)
Ir  0.5000  0.5000  0.5000 (multiplicity 1)

Calculated values
Formation energy from the elements (kcal/mol of atoms): -4.5

=====

A relaxed DyCuHg crystal, computed with PBE.

abc: 3.6793 3.6793 9.3886
angles: 90.00 90.00 90.00
Space group I4mm (No. 107)
Symmetry-distinct sites (fractional):
Dy  0.0000  0.0000  0.0000 (multiplicity 2)
Cu  0.0000  0.0000  0.3340 (multiplicity 2)
Hg  0.0000  0.0000  0.6818 (multiplicity 2)

Calculated values
Formation energy from the elements (kcal/mol of atoms): -5.5

=====

A relaxed NaCa3Au8 crystal, computed with PBE.

abc: 5.6399 5.6399 28.2773
angles: 90.00 90.00 120.00
Space group R3m (No. 160, hexagonal axes)
Symmetry-distinct sites (fractional):
Na  0.0000  0.0000  0.0000 (multiplicity 3)
Ca  0.0000  0.0000  0.1217 (multiplicity 3)
Ca  0.0000  0.0000  0.5049 (multiplicity 3)
Ca  0.0000  0.0000  0.6319 (multiplicity 3)
Au  0.0000  0.0000  0.3149 (multiplicity 3)
Au  0.0000  0.0000  0.8148 (multiplicity 3)
Au  0.0019  0.5009  0.0653 (multiplicity 9)
Au  0.1671  0.3343  0.8977 (multiplicity 9)

Calculated values
Formation energy from the elements (kcal/mol of atoms): -12.7

=====

A relaxed LaTm2Au crystal, computed with PBE.

abc: 3.7616 3.7616 29.6033
angles: 90.00 90.00 120.00
Space group R3m (No. 160, hexagonal axes)
Symmetry-distinct sites (fractional):
La  0.0000  0.0000  0.0000 (multiplicity 3)
Tm  0.0000  0.0000  0.2348 (multiplicity 3)
Tm  0.0000  0.0000  0.4367 (multiplicity 3)
Au  0.0000  0.0000  0.8363 (multiplicity 3)

Calculated values
Relative energy among the computed polymorphs (eV/f.u.): 0.47
Formation energy from the elements (kcal/mol of atoms): -6.9

=====

A relaxed Tb3Pm4Dy5 crystal, computed with PBE.

abc: 6.2050 7.1618 8.7685
angles: 90.09 90.06 90.11
Space group P-1 (No. 2)
Symmetry-distinct sites (fractional):
Tb  0.0000  0.0000  0.0000 (multiplicity 1)
Tb  0.1677  0.7512  0.6684 (multiplicity 2)
Pm  0.1666  0.2483  0.6680 (multiplicity 2)
Pm  0.3324  0.5003  0.3316 (multiplicity 2)
Dy  0.0000  0.5000  0.0000 (multiplicity 1)
Dy  0.3337  0.0004  0.3316 (multiplicity 2)
Dy  0.4992  0.7516  0.9999 (multiplicity 2)

Calculated values
Relative energy among the computed polymorphs (eV/f.u.): 0.00
Formation energy from the elements (kcal/mol of atoms): 0.3

=====

A relaxed Na6LiPb2 crystal, computed with PBE.

abc: 5.5122 5.5122 31.6056
angles: 90.00 90.00 120.00
Space group R-3m (No. 166, hexagonal axes)
Symmetry-distinct sites (fractional):
Na  0.0000  0.0000  0.0768 (multiplicity 6)
Na  0.0000  0.0000  0.2045 (multiplicity 6)
Na  0.0000  0.0000  0.3096 (multiplicity 6)
Li  0.0000  0.0000  0.5000 (multiplicity 3)
Pb  0.0000  0.0000  0.4129 (multiplicity 6)

Calculated values
Relative energy among the computed polymorphs (eV/f.u.): 0.00
Formation energy from the elements (kcal/mol of atoms): -2.9

=====

A relaxed ScCoRu2 crystal, computed with PBE.

abc: 2.8125 4.3428 4.8957
angles: 90.00 98.53 90.00
Space group P2/m (No. 10)
Symmetry-distinct sites (fractional):
Sc  0.0000  0.0000  0.0000 (multiplicity 1)
Co  0.5000  0.0000  0.5000 (multiplicity 1)
Ru  0.3045  0.5000  0.7307 (multiplicity 2)

Calculated values
Relative energy among the computed polymorphs (eV/f.u.): 0.38
Formation energy from the elements (kcal/mol of atoms): 0.7